{
  "formula": "La3PmY4",
  "functional": "GGA-PBE",
  "state": "optimized geometry",
  "cell": [[3.3914, 0.0000, 0.8786], [1.1801, 8.6880, 2.4293], [-0.5277, -1.0521, 9.0216]],
  "species": ["Y", "Y", "Y", "Y", "Pm", "La", "La", "La"],
  "frac_coords": [[0.6337, 0.1145, 0.6180], [0.3663, 0.8855, 0.3820], [0.3663, 0.3820, 0.8855], [0.6337, 0.6180, 0.1145], [0.5000, 0.0000, 0.0000], [0.7577, 0.2423, 0.2423], [0.2423, 0.7577, 0.7577], [0.0000, 0.5000, 0.5000]],
  "n_ef_per_ev_fu": 14.7,
  "e_above_lowest_polymorph_mev_per_atom": 104.3,
  "e_form_ev_per_atom": 0.132,
  "final_energy_ev_per_atom": -5.542
}

***

{
  "formula": "La2ZnNiC",
  "functional": "GGA-PBE",
  "state": "optimized geometry",
  "cell": [[5.3753, 0.0000, 0.0000], [0.0000, 5.3753, 0.0000], [0.0000, 0.0000, 3.6768]],
  "species": ["Ni", "Zn", "C", "La", "La"],
  "frac_coords": [[0.0000, 0.0000, 0.5000], [0.5000, 0.5000, 0.5000], [0.0000, 0.0000, 0.0000], [0.0000, 0.5000, 0.0000], [0.5000, 0.0000, 0.0000]],
  "n_ef_per_ev_fu": 5.0,
  "e_form_ev_per_atom": -0.238,
  "final_energy_ev_per_atom": -5.465
}

***

{
  "formula": "P2HBr2",
  "functional": "GGA-PBE",
  "state": "optimized geometry",
  "cell": [[-2.4316, 4.7973, 3.1799], [-0.7750, -3.6935, 4.9796], [4.4759, 1.2114, 1.5951]],
  "species": ["P", "P", "P", "P", "Br", "Br", "Br", "Br", "H", "H"],
  "frac_coords": [[0.2324, 0.7324, 0.0000], [0.7324, 0.7676, 0.0000], [0.7676, 0.2676, 0.0000], [0.2676, 0.2324, 0.0000], [0.1909, 0.6909, 0.5000], [0.6909, 0.8091, 0.5000], [0.8091, 0.3091, 0.5000], [0.3091, 0.1909, 0.5000], [0.0000, 0.0000, 0.0000], [0.5000, 0.5000, 0.0000]],
  "n_ef_per_ev_fu": 1.3,
  "e_above_lowest_polymorph_mev_per_atom": 155.3,
  "final_energy_ev_per_atom": -2.861
}

***

{
  "formula": "In2RhC",
  "functional": "GGA-PBE",
  "state": "optimized geometry",
  "cell": [[6.7673, 0.0000, 0.0000], [0.0000, 6.7673, 0.0000], [3.3837, 3.3837, 2.9772]],
  "species": ["C", "C", "Rh", "Rh", "In", "In", "In", "In"],
  "frac_coords": [[0.5000, 0.5000, 0.0000], [0.2500, 0.7500, 0.5000], [0.0000, 0.0000, 0.0000], [0.7500, 0.2500, 0.5000], [0.5664, 0.1250, 0.2500], [0.1836, 0.6250, 0.2500], [0.3750, 0.4336, 0.7500], [0.8750, 0.8164, 0.7500]],
  "n_ef_per_ev_fu": 2.7,
  "e_form_ev_per_atom": 0.842,
  "final_energy_ev_per_atom": -4.671
}

***

{
  "formula": "Y6Sb5S",
  "functional": "GGA-PBE",
  "state": "optimized geometry",
  "cell": [[7.3979, 0.1836, 1.1256], [1.8203, 6.2812, 3.6619], [0.1268, 0.0748, 7.4791]],
  "species": ["Y", "Y", "Y", "Y", "Y", "Y", "Sb", "Sb", "Sb", "Sb", "Sb", "S"],
  "frac_coords": [[0.7581, 0.0801, 0.3220], [0.2419, 0.5980, 0.3220], [0.2491, 0.2395, 0.0000], [0.7509, 0.7605, 0.0000], [0.7581, 0.4020, 0.6780], [0.2419, 0.9199, 0.6780], [0.5000, 0.1715, 0.6570], [0.0000, 0.3344, 0.3312], [0.5000, 0.5000, 0.0000], [0.0000, 0.6656, 0.6688], [0.5000, 0.8285, 0.3430], [0.0000, 0.0000, 0.0000]],
  "n_ef_per_ev_fu": 2.9,
  "raw_formation_energy_kcal_per_mol_atoms": -29.710,
  "final_energy_ev_per_atom": -6.582
}

***

{
  "formula": "SrCa2P",
  "functional": "GGA-PBE",
  "state": "optimized geometry",
  "cell": [[3.7825, 0.0234, 0.0000], [-0.0236, 3.7825, 0.0000], [0.0000, 0.0000, 9.5016]],
  "species": ["Ca", "Ca", "P", "Sr"],
  "frac_coords": [[0.0000, 0.0000, 0.0171], [0.5000, 0.5000, 0.3386], [0.0000, 0.0000, 0.4816], [0.5000, 0.5000, 0.6628]],
  "n_ef_per_ev_fu": 4.7,
  "e_form_ev_per_atom": -0.490,
  "final_energy_ev_per_atom": -3.263
}

***

{
  "formula": "Ca2MgVSi",
  "functional": "GGA-PBE",
  "state": "optimized geometry",
  "cell": [[-0.9777, -4.3392, -3.2941], [4.6589, -1.3002, 0.3300], [-1.1788, -3.0989, 4.4320]],
  "species": ["Mg", "Ca", "Ca", "Si", "V"],
  "frac_coords": [[0.0000, 0.0000, 0.0000], [0.0000, 0.0000, 0.5000], [0.5000, 0.0000, 0.0000], [0.5000, 0.5000, 0.5000], [0.0000, 0.5000, 0.0000]],
  "n_ef_per_ev_fu": 7.9,
  "raw_formation_energy_kcal_per_mol_atoms": 27.463,
  "final_energy_ev_per_atom": -2.837
}

***

{
  "formula": "SrMg3H",
  "functional": "GGA-PBE",
  "state": "optimized geometry",
  "cell": [[-0.6092, -3.5599, -3.3519], [-2.5339, -2.6590, 3.2845], [-4.1818, 2.1298, -1.5019]],
  "species": ["Sr", "Mg", "Mg", "Mg", "H"],
  "frac_coords": [[0.5000, 0.5000, 0.5000], [0.0000, 0.5000, 0.0000], [0.0000, 0.0000, 0.5000], [0.5000, 0.0000, 0.0000], [0.0000, 0.0000, 0.0000]],
  "n_ef_per_ev_fu": 2.2,
  "final_energy_ev_per_atom": -1.825
}